No. 1
Entry from the Alexandria database: a relaxed Ba5Co crystal (PBE-GGA).

Values from the calculation:
**Calculated formation energy**: 0.25 eV per atom
**Mass density**: 4.11 g cm⁻³
**Final energy**: -2.5360 eV per atom
**Magnetic moment**: 0.7 μB per formula unit

Lattice parameters (Å, degrees): 7.660 7.660 10.697 111.64 111.64 31.31
Positions (direct):
Ba  0.000  0.000  0.000
Ba  0.059  0.059  0.386
Ba  0.283  0.283  0.167
Ba  0.342  0.342  0.553
Ba  0.671  0.671  0.777
Co  0.671  0.671  0.276

---

No. 2
Entry from the Alexandria database: a relaxed Ba5Co crystal (PBE-GGA).

Values from the calculation:
**Calculated formation energy**: 0.37 eV per atom
**Mass density**: 4.02 g cm⁻³
**Final energy**: -2.4202 eV per atom
**Magnetic moment**: 0.9 μB per formula unit

Lattice parameters (Å, degrees): 6.733 10.404 10.404 24.96 90.00 90.00
Positions (direct):
Ba  0.000  0.000  0.000
Ba  0.000  0.222  0.222
Ba  0.500  0.110  0.110
Ba  0.500  0.441  0.441
Ba  0.500  0.778  0.778
Co  0.000  0.611  0.611

---

No. 3
Entry from the Alexandria database: a relaxed Ba3Co crystal (PBE-GGA).

Values from the calculation:
**Calculated formation energy**: 0.65 eV per atom
**Mass density**: 5.02 g cm⁻³
**Final energy**: -2.5720 eV per atom
**Magnetic moment**: 0.8 μB per formula unit

Lattice parameters (Å, degrees): 6.041 6.041 6.041 60.00 60.00 60.00
Positions (direct):
Ba  0.000  0.000  0.000
Ba  0.250  0.250  0.250
Ba  0.750  0.750  0.750
Co  0.500  0.500  0.500

---

No. 4
Entry from the Alexandria database: a relaxed Ba3Co crystal (PBE-GGA).

Values from the calculation:
**Calculated formation energy**: 0.42 eV per atom
**Mass density**: 4.14 g cm⁻³
**Final energy**: -2.8004 eV per atom
**Magnetic moment**: 1.0 μB per formula unit

Lattice parameters (Å, degrees): 4.353 4.353 11.519 90.00 90.00 120.00
Positions (direct):
Ba  0.000  0.000  0.000
Ba  0.333  0.667  0.334
Ba  0.333  0.667  0.666
Co  0.000  0.000  0.500

---

No. 5
Entry from the Alexandria database: a relaxed Ba2Co crystal (PBE-GGA).

Values from the calculation:
**Calculated formation energy**: 0.47 eV per atom
**Mass density**: 5.14 g cm⁻³
**Final energy**: -3.1757 eV per atom
**Magnetic moment**: 0.3 μB per formula unit

Lattice parameters (Å, degrees): 5.340 5.340 5.340 60.00 60.00 60.00
Positions (direct):
Ba  0.250  0.250  0.250
Ba  0.750  0.750  0.750
Co  0.000  0.000  0.000

---

No. 6
Entry from the Alexandria database: a relaxed BaCo3 crystal (PBE-GGA).

Values from the calculation:
**Calculated formation energy**: 1.11 eV per atom
**Mass density**: 7.43 g cm⁻³
**Final energy**: -4.7015 eV per atom
**Magnetic moment**: 4.1 μB per formula unit

Lattice parameters (Å, degrees): 4.576 4.576 3.351 90.00 90.00 90.00
Positions (direct):
Ba  0.000  0.000  0.000
Co  0.000  0.500  0.500
Co  0.500  0.000  0.500
Co  0.500  0.500  0.000

---

No. 7
Entry from the Alexandria database: a relaxed Ba3Co crystal (PBE-GGA).

Values from the calculation:
**Calculated formation energy**: 0.59 eV per atom
**Mass density**: 4.63 g cm⁻³
**Final energy**: -2.6272 eV per atom
**Magnetic moment**: 0.6 μB per formula unit

Lattice parameters (Å, degrees): 9.098 9.098 9.417 90.00 90.00 120.00
Positions (direct):
Ba  0.000  0.500  0.000
Ba  0.000  0.500  0.500
Ba  0.132  0.263  0.250
Ba  0.132  0.868  0.250
Ba  0.263  0.132  0.750
Ba  0.500  0.000  0.000
Ba  0.500  0.000  0.500
Ba  0.500  0.500  0.000
Ba  0.500  0.500  0.500
Ba  0.737  0.868  0.250
Ba  0.868  0.132  0.750
Ba  0.868  0.737  0.750
Co  0.000  0.000  0.000
Co  0.000  0.000  0.500
Co  0.333  0.667  0.750
Co  0.667  0.333  0.250

---

No. 8
Entry from the Alexandria database: a relaxed Ba2Co crystal (PBE-GGA).

Values from the calculation:
**Calculated formation energy**: 0.53 eV per atom
**Mass density**: 4.88 g cm⁻³
**Final energy**: -3.1206 eV per atom
**Magnetic moment**: 0.7 μB per formula unit

Lattice parameters (Å, degrees): 5.481 5.481 3.778 90.00 90.00 90.00
Positions (direct):
Ba  0.000  0.500  0.000
Ba  0.500  0.000  0.000
Co  0.000  0.000  0.500

---

No. 9
Entry from the Alexandria database: a relaxed BaCo crystal (PBE-GGA).

Values from the calculation:
**Calculated formation energy**: 1.28 eV per atom
**Mass density**: 3.88 g cm⁻³
**Final energy**: -3.2326 eV per atom
**Magnetic moment**: 1.0 μB per formula unit

Lattice parameters (Å, degrees): 4.917 4.917 4.917 60.00 60.00 60.00
Positions (direct):
Ba  0.000  0.000  0.000
Co  0.250  0.250  0.250

---

No. 10
Entry from the Alexandria database: a relaxed BaCo5 crystal (PBE-GGA).

Values from the calculation:
**Calculated formation energy**: 0.49 eV per atom
**Mass density**: 7.46 g cm⁻³
**Final energy**: -5.7484 eV per atom
**Magnetic moment**: 8.0 μB per formula unit

Lattice parameters (Å, degrees): 5.903 5.903 5.960 107.03 107.03 29.05
Positions (direct):
Ba  0.000  0.000  0.000
Co  0.000  0.000  0.500
Co  0.227  0.227  0.833
Co  0.333  0.333  0.494
Co  0.667  0.667  0.506
Co  0.773  0.773  0.167

---

No. 11
Entry from the Alexandria database: a relaxed Ba2Co crystal (PBE-GGA).

Values from the calculation:
**Calculated formation energy**: 0.29 eV per atom
**Mass density**: 4.46 g cm⁻³
**Final energy**: -3.3646 eV per atom
**Magnetic moment**: 0.9 μB per formula unit

Lattice parameters (Å, degrees): 7.842 7.842 10.027 129.37 129.37 32.43
Positions (direct):
Ba  0.072  0.072  0.379
Ba  0.306  0.306  0.895
Ba  0.694  0.694  0.105
Ba  0.928  0.928  0.621
Co  0.416  0.416  0.359
Co  0.584  0.584  0.641

---

No. 12
Entry from the Alexandria database: a relaxed Ba2Co crystal (PBE-GGA).

Values from the calculation:
**Calculated formation energy**: 0.48 eV per atom
**Mass density**: 5.11 g cm⁻³
**Final energy**: -3.1725 eV per atom
**Magnetic moment**: 0.7 μB per formula unit

Lattice parameters (Å, degrees): 8.656 8.656 5.014 90.00 90.00 120.00
Positions (direct):
Ba  0.000  0.261  0.000
Ba  0.000  0.598  0.500
Ba  0.261  0.000  0.000
Ba  0.402  0.402  0.500
Ba  0.598  0.000  0.500
Ba  0.739  0.739  0.000
Co  0.000  0.000  0.500
Co  0.333  0.667  0.000
Co  0.667  0.333  0.000

---

No. 13
Entry from the Alexandria database: a relaxed BaCo crystal (PBE-GGA).

Values from the calculation:
**Calculated formation energy**: 0.48 eV per atom
**Mass density**: 5.07 g cm⁻³
**Final energy**: -4.0316 eV per atom
**Magnetic moment**: 1.3 μB per formula unit

Lattice parameters (Å, degrees): 3.967 3.967 9.437 90.00 90.00 120.00
Positions (direct):
Ba  0.333  0.667  0.216
Ba  0.667  0.333  0.784
Co  0.333  0.667  0.522
Co  0.667  0.333  0.478

---

No. 14
Entry from the Alexandria database: a relaxed Ba2Co crystal (PBE-GGA).

Values from the calculation:
**Calculated formation energy**: 0.46 eV per atom
**Mass density**: 4.74 g cm⁻³
**Final energy**: -3.1873 eV per atom
**Magnetic moment**: 0.7 μB per formula unit

Lattice parameters (Å, degrees): 7.761 7.761 7.761 90.00 90.00 90.00
Positions (direct):
Ba  0.169  0.169  0.169
Ba  0.169  0.331  0.669
Ba  0.331  0.669  0.169
Ba  0.331  0.831  0.669
Ba  0.669  0.169  0.331
Ba  0.669  0.331  0.831
Ba  0.831  0.669  0.331
Ba  0.831  0.831  0.831
Co  0.000  0.000  0.500
Co  0.000  0.500  0.000
Co  0.500  0.000  0.000
Co  0.500  0.500  0.500

---

No. 15
Entry from the Alexandria database: a relaxed BaCo crystal (PBE-GGA).

Values from the calculation:
**Calculated formation energy**: 0.65 eV per atom
**Mass density**: 4.78 g cm⁻³
**Final energy**: -3.8598 eV per atom
**Magnetic moment**: 1.3 μB per formula unit

Lattice parameters (Å, degrees): 6.657 6.657 6.157 90.00 90.00 90.00
Positions (direct):
Ba  0.195  0.195  0.000
Ba  0.305  0.695  0.500
Ba  0.695  0.305  0.500
Ba  0.805  0.805  0.000
Co  0.115  0.115  0.500
Co  0.385  0.615  0.000
Co  0.615  0.385  0.000
Co  0.885  0.885  0.500

---

No. 16
Entry from the Alexandria database: a relaxed Ba3Co crystal (PBE-GGA).

Values from the calculation:
**Calculated formation energy**: 0.35 eV per atom
**Mass density**: 4.46 g cm⁻³
**Final energy**: -2.8636 eV per atom
**Magnetic moment**: 1.3 μB per formula unit

Lattice parameters (Å, degrees): 3.998 3.998 10.971 90.00 90.00 90.10
Positions (direct):
Ba  0.000  0.000  0.000
Ba  0.500  0.500  0.334
Ba  0.500  0.500  0.666
Co  0.000  0.000  0.500

---

No. 17
Entry from the Alexandria database: a relaxed Ba3Co2 crystal (PBE-GGA).

Values from the calculation:
**Calculated formation energy**: 0.58 eV per atom
**Mass density**: 5.09 g cm⁻³
**Final energy**: -3.4165 eV per atom
**Magnetic moment**: 1.7 μB per formula unit

Lattice parameters (Å, degrees): 8.808 7.034 10.123 58.52 42.92 78.56
Positions (direct):
Ba  0.000  0.000  0.000
Ba  0.250  0.250  0.250
Ba  0.392  0.657  0.681
Ba  0.569  0.981  0.858
Ba  0.657  0.392  0.269
Ba  0.981  0.569  0.593
Co  0.008  0.866  0.743
Co  0.507  0.866  0.242
Co  0.866  0.008  0.384
Co  0.866  0.507  0.384

---

No. 18
Entry from the Alexandria database: a relaxed BaCo3 crystal (PBE-GGA).

Values from the calculation:
**Calculated formation energy**: 0.85 eV per atom
**Mass density**: 6.84 g cm⁻³
**Final energy**: -4.9638 eV per atom
**Magnetic moment**: 4.8 μB per formula unit

Lattice parameters (Å, degrees): 5.513 5.513 5.513 146.96 122.16 68.25
Positions (direct):
Ba  0.000  0.000  0.000
Co  0.308  0.808  0.500
Co  0.500  0.500  0.000
Co  0.692  0.192  0.500

---

No. 19
Entry from the Alexandria database: a relaxed Ba5Co3 crystal (PBE-GGA).

Values from the calculation:
**Calculated formation energy**: 0.64 eV per atom
**Mass density**: 5.08 g cm⁻³
**Final energy**: -3.2215 eV per atom
**Magnetic moment**: 2.2 μB per formula unit

Lattice parameters (Å, degrees): 7.788 7.788 4.973 90.00 90.00 110.73
Positions (direct):
Ba  0.000  0.000  0.000
Ba  0.000  0.500  0.000
Ba  0.302  0.302  0.500
Ba  0.500  0.000  0.000
Ba  0.698  0.698  0.500
Co  0.166  0.834  0.500
Co  0.500  0.500  0.000
Co  0.834  0.166  0.500

---

No. 20
Entry from the Alexandria database: a relaxed Ba5Co3 crystal (PBE-GGA).

Values from the calculation:
**Calculated formation energy**: 0.54 eV per atom
**Mass density**: 5.17 g cm⁻³
**Final energy**: -3.3247 eV per atom
**Magnetic moment**: 2.3 μB per formula unit

Lattice parameters (Å, degrees): 9.246 9.246 7.499 90.00 90.00 120.00
Positions (direct):
Ba  0.000  0.263  0.250
Ba  0.000  0.737  0.750
Ba  0.263  0.000  0.250
Ba  0.263  0.263  0.750
Ba  0.333  0.667  0.000
Ba  0.333  0.667  0.500
Ba  0.667  0.333  0.000
Ba  0.667  0.333  0.500
Ba  0.737  0.000  0.750
Ba  0.737  0.737  0.250
Co  0.000  0.394  0.750
Co  0.000  0.606  0.250
Co  0.394  0.000  0.750
Co  0.394  0.394  0.250
Co  0.606  0.000  0.250
Co  0.606  0.606  0.750

---

No. 21
Entry from the Alexandria database: a relaxed BaCo3 crystal (PBE-GGA).

Values from the calculation:
**Calculated formation energy**: 0.58 eV per atom
**Mass density**: 6.27 g cm⁻³
**Final energy**: -5.2319 eV per atom
**Magnetic moment**: 4.9 μB per formula unit

Lattice parameters (Å, degrees): 3.659 3.673 6.193 90.00 90.00 90.00
Positions (direct):
Ba  0.000  0.000  0.000
Co  0.000  0.500  0.468
Co  0.500  0.000  0.469
Co  0.500  0.500  0.678

---

No. 22
Entry from the Alexandria database: a relaxed BaCo3 crystal (PBE-GGA).

Values from the calculation:
**Calculated formation energy**: 0.72 eV per atom
**Mass density**: 6.50 g cm⁻³
**Final energy**: -5.0870 eV per atom
**Magnetic moment**: 4.6 μB per formula unit

Lattice parameters (Å, degrees): 7.379 7.379 6.805 90.00 90.00 120.00
Positions (direct):
Ba  0.000  0.000  0.000
Ba  0.000  0.000  0.500
Ba  0.333  0.667  0.250
Ba  0.667  0.333  0.750
Co  0.000  0.500  0.000
Co  0.000  0.500  0.500
Co  0.229  0.458  0.750
Co  0.229  0.771  0.750
Co  0.458  0.229  0.250
Co  0.500  0.000  0.000
Co  0.500  0.000  0.500
Co  0.500  0.500  0.000
Co  0.500  0.500  0.500
Co  0.542  0.771  0.750
Co  0.771  0.229  0.250
Co  0.771  0.542  0.250

---

No. 23
Entry from the Alexandria database: a relaxed Ba3Co crystal (PBE-GGA).

Values from the calculation:
**Calculated formation energy**: 0.37 eV per atom
**Mass density**: 4.46 g cm⁻³
**Final energy**: -2.8456 eV per atom
**Magnetic moment**: 0.8 μB per formula unit

Lattice parameters (Å, degrees): 7.718 7.718 7.718 149.52 130.68 59.10
Positions (direct):
Ba  0.000  0.000  0.000
Ba  0.329  0.829  0.500
Ba  0.671  0.171  0.500
Co  0.500  0.500  0.000

---

No. 24
Entry from the Alexandria database: a relaxed Ba2Co crystal (PBE-GGA).

Values from the calculation:
**Calculated formation energy**: 0.91 eV per atom
**Mass density**: 5.54 g cm⁻³
**Final energy**: -2.7367 eV per atom
**Magnetic moment**: 0.9 μB per formula unit

Lattice parameters (Å, degrees): 5.746 5.746 3.499 90.00 90.00 120.00
Positions (direct):
Ba  0.333  0.667  0.000
Ba  0.667  0.333  0.000
Co  0.000  0.000  0.500

---

No. 25
Entry from the Alexandria database: a relaxed BaCo3 crystal (PBE-GGA).

Values from the calculation:
**Calculated formation energy**: 0.80 eV per atom
**Mass density**: 5.90 g cm⁻³
**Final energy**: -5.0100 eV per atom
**Magnetic moment**: 4.8 μB per formula unit

Lattice parameters (Å, degrees): 5.161 5.161 5.161 134.37 88.12 109.48
Positions (direct):
Ba  0.000  0.000  0.000
Co  0.365  0.516  0.849
Co  0.443  0.943  0.500
Co  0.667  0.516  0.151

---

No. 26
Entry from the Alexandria database: a relaxed BaCo crystal (PBE-GGA).

Values from the calculation:
**Calculated formation energy**: 0.36 eV per atom
**Mass density**: 4.48 g cm⁻³
**Final energy**: -4.1576 eV per atom
**Magnetic moment**: 0.7 μB per formula unit

Lattice parameters (Å, degrees): 4.135 4.327 8.124 90.00 90.00 90.00
Positions (direct):
Ba  0.250  0.000  0.228
Ba  0.750  0.000  0.772
Co  0.250  0.500  0.952
Co  0.750  0.500  0.048